Li3Cr2P3O12 (PBE+U, optimized geometry); total energy = -7.061 eV per atom; spin magnetization = 11.98 Bohr magnetons per cell; distance to the lowest polymorph of the same formula = 0.364 kcal/mol of atoms; space-group type = No. 9; N(E_F) = 0.00 states/eV/atom
1.0
7.451 -4.346 0.000
7.451 4.346 0.000
-4.756 0.000 7.120
Li Cr P O
6 4 6 24
Cartesian
5.072 3.248 3.560
5.066 1.100 0.754
2.688 -1.100 4.314
7.614 1.155 3.948
9.992 -1.155 0.388
7.451 -3.248 0.000
2.265 2.187 3.137
7.873 2.157 1.179
-0.113 -2.187 6.697
5.494 -2.157 4.739
2.533 0.385 0.377
0.155 -0.385 3.937
4.550 0.997 5.406
6.928 -0.997 1.846
10.659 0.995 2.469
8.281 -0.995 6.029
-1.082 0.421 4.363
3.118 1.329 1.490
6.246 2.587 0.080
1.296 -0.421 0.802
1.394 0.418 3.512
3.891 1.766 4.238
7.020 3.017 2.825
-0.984 -0.418 7.072
3.960 1.266 6.783
0.740 -1.329 5.050
6.746 0.536 1.626
6.045 1.430 5.335
9.164 1.427 2.543
4.368 -0.536 5.186
6.269 -1.766 0.678
11.247 1.270 1.092
6.338 -1.266 3.223
3.868 -2.587 3.640
8.463 0.539 6.240
8.423 -1.430 1.774
6.786 -1.427 6.103
10.841 -0.539 2.680
4.642 -3.017 6.385
8.869 -1.270 4.652